This record from Alexandria describes a relaxed structure of Ba3DyMn2O6. The functional is GGA+U.

The structure in POSCAR format:
```
Ba3DyMn2O6
1.0
6.196 0.000 0.000
-3.098 5.366 0.000
0.000 0.000 7.081
Ba Dy Mn O
3 1 2 6
Cartesian
0.000 0.000 0.000
0.000 3.578 4.468
3.098 1.789 2.613
0.000 0.000 3.540
0.000 3.578 1.264
3.098 1.789 5.816
0.000 1.800 2.178
-1.539 4.466 2.178
1.559 0.900 4.902
1.539 4.466 2.178
4.637 0.900 4.902
3.098 3.566 4.902
```

Summary:
**SG**: P-3m1 (164)
**Energy**: -82.1 eV per cell
**Magnetization**: 10.79 μB per cell